VASP calculation (GGA+U) on an optimized crystal structure of CrGaPdF6.

Properties
- M_tot: 0.333 μB per atom
- Density of states at the Fermi level: 6.3 states/eV/f.u.
- Energy: -4.9989 eV per atom

```
data_CrGaPdF6
_symmetry_space_group_name_H-M 'P -3 1 c'
_symmetry_Int_Tables_number 163
_symmetry_space_group_name_Hall '-P 3 2c'
_cell_length_a 5.3982
_cell_length_b 5.3982
_cell_length_c 10.4146
_cell_angle_alpha 90.00
_cell_angle_beta 90.00
_cell_angle_gamma 120.00
loop_
_atom_site_label
_atom_site_fract_x
_atom_site_fract_y
_atom_site_fract_z
Cr1 0.3333 0.6667 0.2500
Ga1 0.3333 0.6667 0.7500
Pd1 0.0000 0.0000 0.0000
F1 0.0191 0.3781 0.6486
```